No. 1
Computed, not measured: an optimized crystal structure of Sm6Ho2Th3 at the PBE level of DFT. Values from VASP.

Structure (Quantum ESPRESSO input):
```
&SYSTEM
  ibrav = 0, nat = 11, ntyp = 3
/
ATOMIC_SPECIES
Sm 150.36 Sm.upf
Ho 164.93 Ho.upf
Th 232.04 Th.upf
CELL_PARAMETERS angstrom
1.7979 1.0380 32.1973
-1.7979 1.0380 32.1973
0.0000 -2.0761 32.1973
ATOMIC_POSITIONS angstrom
Sm 0.0000 0.0000 8.7359
Sm 0.0000 0.0000 17.5977
Sm 0.0000 0.0000 35.1164
Sm 0.0000 0.0000 61.4755
Sm 0.0000 0.0000 78.9942
Sm 0.0000 0.0000 87.8560
Ho 0.0000 0.0000 43.9121
Ho 0.0000 0.0000 52.6797
Th 0.0000 0.0000 0.0000
Th 0.0000 0.0000 26.3334
Th 0.0000 0.0000 70.2584
```

Spin magnetization: 0.00 Bohr magnetons per cell
E_form: 0.03 eV per atom



No. 2
Computed, not measured: an optimized crystal structure of Sm8HoTh4 at the PBE level of DFT. Values from VASP.

Structure (Quantum ESPRESSO input):
```
&SYSTEM
  ibrav = 0, nat = 13, ntyp = 3
/
ATOMIC_SPECIES
Sm 150.36 Sm.upf
Ho 164.93 Ho.upf
Th 232.04 Th.upf
CELL_PARAMETERS angstrom
5.6080 3.2378 4.4664
-5.6080 3.2378 4.4664
0.0000 -6.4756 4.4664
ATOMIC_POSITIONS angstrom
Sm 0.0000 -3.3459 5.4670
Sm -2.8976 1.6730 5.4670
Sm 0.0000 0.0000 3.1996
Sm -2.8976 -1.6730 7.9321
Sm 2.8976 1.6730 5.4670
Sm 0.0000 0.0000 10.1995
Sm 2.8976 -1.6730 7.9321
Sm 0.0000 3.3459 7.9321
Ho 0.0000 0.0000 6.6995
Th 0.0000 0.0000 0.0000
Th -2.8040 -1.6189 4.4664
Th -2.8040 1.6189 8.9327
Th 0.0000 3.2378 4.4664
```

Spin magnetization: 0.01 Bohr magnetons per cell
E_form: 0.57 eV per atom



No. 3
Computed, not measured: an optimized crystal structure of Sm3Ho4Th at the PBE level of DFT. Values from VASP.

Structure (Quantum ESPRESSO input):
```
&SYSTEM
  ibrav = 0, nat = 8, ntyp = 3
/
ATOMIC_SPECIES
Sm 150.36 Sm.upf
Ho 164.93 Ho.upf
Th 232.04 Th.upf
CELL_PARAMETERS angstrom
7.1743 0.0000 0.0000
0.0000 3.5900 0.0000
-0.0104 0.0000 9.9968
ATOMIC_POSITIONS angstrom
Sm 0.0000 0.0000 0.0000
Sm -0.0052 0.0000 4.9984
Sm 3.5871 0.0000 0.0000
Ho 1.8136 1.7950 2.5433
Ho 1.8085 1.7950 7.4521
Ho 5.3553 1.7950 2.5448
Ho 5.3502 1.7950 7.4535
Th 3.5819 0.0000 4.9984
```

Spin magnetization: 0.00 Bohr magnetons per cell
E_form: 0.02 eV per atom



No. 4
Computed, not measured: an optimized crystal structure of SmHoTh at the PBE level of DFT. Values from VASP.

Structure (Quantum ESPRESSO input):
```
&SYSTEM
  ibrav = 0, nat = 12, ntyp = 3
/
ATOMIC_SPECIES
Sm 150.36 Sm.upf
Ho 164.93 Ho.upf
Th 232.04 Th.upf
CELL_PARAMETERS angstrom
6.7568 0.0000 0.0000
0.0092 7.6918 0.0000
0.0092 0.0024 7.6937
ATOMIC_POSITIONS angstrom
Sm 0.0076 1.2124 1.2171
Sm 3.3860 5.0598 5.0642
Sm 3.3892 2.6345 2.6295
Sm 6.7676 6.4818 6.4766
Ho 0.0178 2.6304 5.0659
Ho 3.3790 6.4753 1.2191
Ho 3.3962 1.2190 6.4746
Ho 6.7574 5.0638 2.6278
Th 1.7029 7.6918 3.8510
Th 1.6938 3.8453 0.0036
Th 5.0723 0.0024 3.8427
Th 5.0814 3.8490 7.6901
```

Spin magnetization: 0.00 Bohr magnetons per cell
E_form: 0.22 eV per atom



No. 5
Computed, not measured: an optimized crystal structure of Sm6Ho5Th2 at the PBE level of DFT. Values from VASP.

Structure (Quantum ESPRESSO input):
```
&SYSTEM
  ibrav = 0, nat = 26, ntyp = 3
/
ATOMIC_SPECIES
Sm 150.36 Sm.upf
Ho 164.93 Ho.upf
Th 232.04 Th.upf
CELL_PARAMETERS angstrom
11.5826 0.0000 0.0000
0.0000 20.7243 0.0000
0.0000 0.0000 3.5966
ATOMIC_POSITIONS angstrom
Sm 0.7829 3.0005 0.0000
Sm 0.9126 9.0370 0.0000
Sm 2.1207 18.1557 1.7983
Sm 3.6706 7.7936 1.7983
Sm 4.8787 19.3991 0.0000
Sm 5.0084 13.3626 0.0000
Sm 6.5742 7.3617 0.0000
Sm 6.7039 1.3252 0.0000
Sm 7.9120 12.9307 1.7983
Sm 9.4619 2.5685 1.7983
Sm 10.6700 11.6873 0.0000
Sm 10.7997 17.7238 0.0000
Ho 0.0000 0.0000 1.7983
Ho 0.8091 6.0312 1.7983
Ho 2.1763 11.9878 1.7983
Ho 3.6150 1.6256 1.7983
Ho 4.9822 16.3933 1.7983
Ho 5.7913 10.3621 1.7983
Ho 6.6004 4.3310 1.7983
Ho 7.9676 19.0986 1.7983
Ho 9.4063 8.7365 1.7983
Ho 10.7735 14.6931 1.7983
Th 2.1681 15.1649 0.0000
Th 3.6232 4.8027 0.0000
Th 7.9594 15.9215 0.0000
Th 9.4145 5.5594 0.0000
```

Spin magnetization: 0.00 Bohr magnetons per cell
E_form: 0.12 eV per atom



No. 6
Computed, not measured: an optimized crystal structure of Sm12Ho7Th at the PBE level of DFT. Values from VASP.

Structure (Quantum ESPRESSO input):
```
&SYSTEM
  ibrav = 0, nat = 20, ntyp = 3
/
ATOMIC_SPECIES
Sm 150.36 Sm.upf
Ho 164.93 Ho.upf
Th 232.04 Th.upf
CELL_PARAMETERS angstrom
6.1621 3.5577 5.0800
-6.1621 3.5577 5.0800
0.0000 -7.1154 5.0800
ATOMIC_POSITIONS angstrom
Sm -3.9701 1.4475 3.9056
Sm 0.7315 -4.1620 3.9056
Sm -2.5141 -2.4016 8.2031
Sm -3.3369 0.9765 7.0369
Sm -3.2386 -2.7144 11.3344
Sm 0.8228 -3.3781 7.0369
Sm -0.8228 3.3781 8.2031
Sm 3.2386 2.7144 3.9056
Sm 3.3369 -0.9765 8.2031
Sm 2.5141 2.4016 7.0369
Sm -0.7314 4.1620 11.3344
Sm 3.9701 -1.4475 11.3344
Ho 0.0000 0.0000 0.0000
Ho -1.4033 -1.4943 4.6405
Ho -0.5925 1.9625 4.6405
Ho 1.9958 -0.4681 4.6405
Ho -1.9958 0.4681 10.5995
Ho 0.5925 -1.9625 10.5995
Ho 1.4033 1.4944 10.5995
Th 0.0000 0.0000 7.6200
```

Spin magnetization: 0.00 Bohr magnetons per cell
E_form: 0.23 eV per atom



No. 7
Computed, not measured: an optimized crystal structure of Sm4Ho2Th3 at the PBE level of DFT. Values from VASP.

Structure (Quantum ESPRESSO input):
```
&SYSTEM
  ibrav = 0, nat = 9, ntyp = 3
/
ATOMIC_SPECIES
Sm 150.36 Sm.upf
Ho 164.93 Ho.upf
Th 232.04 Th.upf
CELL_PARAMETERS angstrom
7.7961 -1.8029 0.0000
7.7961 1.8029 0.0000
-2.5760 0.0000 10.4567
ATOMIC_POSITIONS angstrom
Sm -0.8138 0.0000 3.5200
Sm 4.9692 0.0000 1.1937
Sm 8.0470 0.0000 9.2630
Sm 13.8300 0.0000 6.9367
Ho 3.2211 0.0000 8.1442
Ho 9.7951 0.0000 2.3124
Th 0.0000 0.0000 0.0000
Th 3.9784 0.0000 4.6196
Th 9.0378 0.0000 5.8371
```

Spin magnetization: 0.00 Bohr magnetons per cell
E_form: 0.04 eV per atom



No. 8
Computed, not measured: an optimized crystal structure of Sm7Ho4Th at the PBE level of DFT. Values from VASP.

Structure (Quantum ESPRESSO input):
```
&SYSTEM
  ibrav = 0, nat = 12, ntyp = 3
/
ATOMIC_SPECIES
Sm 150.36 Sm.upf
Ho 164.93 Ho.upf
Th 232.04 Th.upf
CELL_PARAMETERS angstrom
6.2651 0.0000 0.0000
-0.0021 7.2371 0.0000
-2.1108 -0.0135 8.6750
ATOMIC_POSITIONS angstrom
Sm 0.0000 0.0000 0.0000
Sm -0.0403 3.6088 5.8133
Sm 1.0305 1.8110 2.8843
Sm 1.0212 1.8173 8.6654
Sm 3.1309 5.4063 0.0096
Sm 3.1216 5.4126 5.7908
Sm 4.1923 3.6147 2.8617
Ho -0.0204 -0.0089 5.7518
Ho 1.0221 5.4277 2.8720
Ho 3.1299 1.7959 5.8031
Ho 4.1725 7.2325 2.9233
Th -0.0011 3.6185 0.0000
```

Spin magnetization: 0.00 Bohr magnetons per cell
E_form: 0.01 eV per atom



No. 9
Computed, not measured: an optimized crystal structure of Sm2Ho4Th3 at the PBE level of DFT. Values from VASP.

Structure (Quantum ESPRESSO input):
```
&SYSTEM
  ibrav = 0, nat = 9, ntyp = 3
/
ATOMIC_SPECIES
Sm 150.36 Sm.upf
Ho 164.93 Ho.upf
Th 232.04 Th.upf
CELL_PARAMETERS angstrom
3.5630 0.0000 0.0000
-1.7815 3.0856 0.0000
0.0000 0.0000 26.5463
ATOMIC_POSITIONS angstrom
Sm 0.0000 0.0000 0.0000
Sm 0.0000 0.0000 5.8720
Ho 0.0000 0.0000 9.2422
Ho 0.0000 0.0000 15.0096
Ho 0.0000 2.0571 17.8333
Ho 0.0000 2.0571 23.6226
Th 0.0000 0.0000 20.7392
Th 0.0000 2.0571 2.9831
Th 0.0000 2.0571 12.0589
```

Spin magnetization: 0.00 Bohr magnetons per cell
E_form: 0.08 eV per atom



No. 10
Computed, not measured: an optimized crystal structure of Sm2Ho6Th at the PBE level of DFT. Values from VASP.

Structure (Quantum ESPRESSO input):
```
&SYSTEM
  ibrav = 0, nat = 9, ntyp = 3
/
ATOMIC_SPECIES
Sm 150.36 Sm.upf
Ho 164.93 Ho.upf
Th 232.04 Th.upf
CELL_PARAMETERS angstrom
3.5691 0.0000 0.0000
-1.7846 3.0909 0.0000
0.0000 0.0000 26.3067
ATOMIC_POSITIONS angstrom
Sm 0.0000 0.0000 4.5068
Sm 0.0000 0.0000 21.7999
Ho 0.0000 0.0000 10.2634
Ho 0.0000 0.0000 16.0433
Ho 1.7846 1.0303 1.6765
Ho 1.7846 1.0303 7.4560
Ho 1.7846 1.0303 18.8506
Ho 1.7846 1.0303 24.6302
Th 1.7846 1.0303 13.1533
```

Spin magnetization: 0.00 Bohr magnetons per cell
E_form: 0.07 eV per atom



No. 11
Computed, not measured: an optimized crystal structure of Sm5HoTh2 at the PBE level of DFT. Values from VASP.

Structure (Quantum ESPRESSO input):
```
&SYSTEM
  ibrav = 0, nat = 8, ntyp = 3
/
ATOMIC_SPECIES
Sm 150.36 Sm.upf
Ho 164.93 Ho.upf
Th 232.04 Th.upf
CELL_PARAMETERS angstrom
6.8975 -5.6635 0.0000
6.8975 5.6635 0.0000
-0.9055 0.0000 3.4221
ATOMIC_POSITIONS angstrom
Sm 0.0000 0.0000 0.0000
Sm 4.7684 2.9755 1.2650
Sm 8.1211 2.9755 2.1571
Sm 4.7684 -2.9755 1.2650
Sm 8.1211 -2.9755 2.1571
Ho 6.8975 0.0000 0.0000
Th 3.3288 0.0000 0.8849
Th 9.5606 0.0000 2.5372
```

Spin magnetization: 0.00 Bohr magnetons per cell
E_form: 0.10 eV per atom



No. 12
Computed, not measured: an optimized crystal structure of Sm3Ho8Th4 at the PBE level of DFT. Values from VASP.

Structure (Quantum ESPRESSO input):
```
&SYSTEM
  ibrav = 0, nat = 15, ntyp = 3
/
ATOMIC_SPECIES
Sm 150.36 Sm.upf
Ho 164.93 Ho.upf
Th 232.04 Th.upf
CELL_PARAMETERS angstrom
6.6394 -6.4588 0.0000
6.6394 6.4588 0.0000
-3.3735 0.0000 5.8215
ATOMIC_POSITIONS angstrom
Sm 0.0000 0.0000 0.0000
Sm 3.3197 3.2294 0.0000
Sm 3.3197 -3.2294 0.0000
Ho 4.9527 4.6090 2.9108
Ho 1.4591 0.0000 2.9254
Ho -0.1285 0.0000 5.7393
Ho 6.6394 3.3017 0.0000
Ho 6.6394 -3.3017 0.0000
Ho 10.0338 0.0000 0.0822
Ho 8.4462 0.0000 2.8962
Ho 4.9527 -4.6090 2.9108
Th 1.6329 3.2294 2.9108
Th 1.6329 -3.2294 2.9108
Th 6.6394 0.0000 0.0000
Th 4.9527 0.0000 2.9108
```

Spin magnetization: 0.00 Bohr magnetons per cell
E_form: 0.42 eV per atom



No. 13
Computed, not measured: an optimized crystal structure of Sm3Ho2Th at the PBE level of DFT. Values from VASP.

Structure (Quantum ESPRESSO input):
```
&SYSTEM
  ibrav = 0, nat = 12, ntyp = 3
/
ATOMIC_SPECIES
Sm 150.36 Sm.upf
Ho 164.93 Ho.upf
Th 232.04 Th.upf
CELL_PARAMETERS angstrom
-5.5272 5.9925 3.4409
5.5272 -5.9925 3.4409
5.5272 5.9925 -3.4409
ATOMIC_POSITIONS angstrom
Sm 5.5272 -2.7873 1.7204
Sm 0.0000 0.0000 1.7204
Sm 5.5272 2.7873 1.7204
Sm 0.0000 3.2052 1.7204
Sm 0.0000 0.0000 5.1613
Sm 0.0000 8.7798 1.7204
Ho 2.6902 2.3334 0.0000
Ho 2.6902 -2.3334 3.4409
Ho 2.8371 8.3259 0.0000
Ho 2.8371 3.6591 3.4409
Th 5.5272 0.0000 0.0000
Th 0.0000 5.9925 0.0000
```

Spin magnetization: 0.01 Bohr magnetons per cell
E_form: 0.61 eV per atom



No. 14
Computed, not measured: an optimized crystal structure of Sm4HoTh at the PBE level of DFT. Values from VASP.

Structure (Quantum ESPRESSO input):
```
&SYSTEM
  ibrav = 0, nat = 6, ntyp = 3
/
ATOMIC_SPECIES
Sm 150.36 Sm.upf
Ho 164.93 Ho.upf
Th 232.04 Th.upf
CELL_PARAMETERS angstrom
3.5925 0.0000 0.0000
1.7592 5.9834 0.0000
1.7774 1.6500 9.2317
ATOMIC_POSITIONS angstrom
Sm 0.8957 0.2985 1.5745
Sm 2.6607 4.1221 6.1268
Sm 4.4684 3.5112 3.1049
Sm 6.2334 7.3349 7.6571
Ho 2.6758 2.9917 0.0000
Th 2.6849 0.8250 4.6158
```

Spin magnetization: 0.00 Bohr magnetons per cell
E_form: 0.03 eV per atom



No. 15
Computed, not measured: an optimized crystal structure of SmHo2Th at the PBE level of DFT. Values from VASP.

Structure (Quantum ESPRESSO input):
```
&SYSTEM
  ibrav = 0, nat = 4, ntyp = 3
/
ATOMIC_SPECIES
Sm 150.36 Sm.upf
Ho 164.93 Ho.upf
Th 232.04 Th.upf
CELL_PARAMETERS angstrom
1.7882 1.0324 11.5171
-1.7882 1.0324 11.5171
0.0000 -2.0649 11.5171
ATOMIC_POSITIONS angstrom
Sm 0.0000 0.0000 0.0000
Ho 0.0000 0.0000 8.5722
Ho 0.0000 0.0000 25.9791
Th 0.0000 0.0000 17.2756
```

Spin magnetization: 0.00 Bohr magnetons per cell
E_form: 0.02 eV per atom



No. 16
Computed, not measured: an optimized crystal structure of Sm2Ho6Th3 at the PBE level of DFT. Values from VASP.

Structure (Quantum ESPRESSO input):
```
&SYSTEM
  ibrav = 0, nat = 11, ntyp = 3
/
ATOMIC_SPECIES
Sm 150.36 Sm.upf
Ho 164.93 Ho.upf
Th 232.04 Th.upf
CELL_PARAMETERS angstrom
3.0848 -5.3355 0.0000
3.0848 5.3355 0.0000
-0.0180 0.0000 11.2843
ATOMIC_POSITIONS angstrom
Sm 3.0848 3.5493 0.0000
Sm 3.0848 -3.5493 0.0000
Ho 2.0530 1.7633 2.8718
Ho 1.0398 0.0000 8.4202
Ho 2.0530 -1.7633 2.8718
Ho 4.0986 1.7633 8.4125
Ho 5.1118 0.0000 2.8641
Ho 4.0986 -1.7633 8.4125
Th 3.0758 3.5595 5.6422
Th 3.0758 0.0000 5.6422
Th 3.0758 -3.5595 5.6422
```

Spin magnetization: 0.00 Bohr magnetons per cell
E_form: 0.16 eV per atom



No. 17
Computed, not measured: an optimized crystal structure of SmHo2Th at the PBE level of DFT. Values from VASP.

Structure (Quantum ESPRESSO input):
```
&SYSTEM
  ibrav = 0, nat = 4, ntyp = 3
/
ATOMIC_SPECIES
Sm 150.36 Sm.upf
Ho 164.93 Ho.upf
Th 232.04 Th.upf
CELL_PARAMETERS angstrom
1.7943 1.0359 11.4821
-1.7943 1.0359 11.4821
0.0000 -2.0718 11.4821
ATOMIC_POSITIONS angstrom
Sm 0.0000 0.0000 0.0000
Ho 0.0000 0.0000 20.0069
Ho 0.0000 0.0000 25.8820
Th 0.0000 0.0000 5.7144
```

Spin magnetization: 0.00 Bohr magnetons per cell
E_form: 0.01 eV per atom



No. 18
Computed, not measured: an optimized crystal structure of SmHoTh4 at the PBE level of DFT. Values from VASP.

Structure (Quantum ESPRESSO input):
```
&SYSTEM
  ibrav = 0, nat = 6, ntyp = 3
/
ATOMIC_SPECIES
Sm 150.36 Sm.upf
Ho 164.93 Ho.upf
Th 232.04 Th.upf
CELL_PARAMETERS angstrom
3.5843 0.0000 0.0000
0.0000 3.5843 0.0000
0.0000 0.0000 15.1059
ATOMIC_POSITIONS angstrom
Sm 0.0000 0.0000 0.0000
Ho 1.7922 1.7922 7.5529
Th 0.0000 0.0000 5.0379
Th 0.0000 0.0000 10.0680
Th 1.7922 1.7922 2.5965
Th 1.7922 1.7922 12.5094
```

Spin magnetization: 0.00 Bohr magnetons per cell
E_form: 0.04 eV per atom



No. 19
Computed, not measured: an optimized crystal structure of Sm7Ho12Th at the PBE level of DFT. Values from VASP.

Structure (Quantum ESPRESSO input):
```
&SYSTEM
  ibrav = 0, nat = 20, ntyp = 3
/
ATOMIC_SPECIES
Sm 150.36 Sm.upf
Ho 164.93 Ho.upf
Th 232.04 Th.upf
CELL_PARAMETERS angstrom
-5.6248 5.6248 5.6248
5.6248 -5.6248 5.6248
5.6248 5.6248 -5.6248
ATOMIC_POSITIONS angstrom
Sm 2.8124 2.8124 -2.8124
Sm 2.8124 -2.8124 2.8124
Sm 5.6248 0.0000 0.0000
Sm -2.8124 2.8124 2.8124
Sm 0.0000 5.6248 0.0000
Sm 0.0000 0.0000 5.6248
Sm 2.8124 2.8124 2.8124
Ho 5.6248 2.8816 -2.8816
Ho 5.6248 -2.8816 2.8816
Ho 2.8816 5.6248 -2.8816
Ho 2.7432 2.7432 0.0000
Ho 2.7432 0.0000 2.7432
Ho 2.8816 -2.8816 5.6248
Ho 0.0000 2.7432 2.7432
Ho 5.6248 2.8816 2.8816
Ho -2.8816 5.6248 2.8816
Ho -2.8816 2.8816 5.6248
Ho 2.8816 5.6248 2.8816
Ho 2.8816 2.8816 5.6248
Th 0.0000 0.0000 0.0000
```

Spin magnetization: 0.00 Bohr magnetons per cell
E_form: 0.70 eV per atom



No. 20
Computed, not measured: an optimized crystal structure of Sm5Ho12Th2 at the PBE level of DFT. Values from VASP.

Structure (Quantum ESPRESSO input):
```
&SYSTEM
  ibrav = 0, nat = 19, ntyp = 3
/
ATOMIC_SPECIES
Sm 150.36 Sm.upf
Ho 164.93 Ho.upf
Th 232.04 Th.upf
CELL_PARAMETERS angstrom
6.2642 0.0000 0.0000
0.4474 8.8911 0.0000
1.6177 0.4496 11.0205
ATOMIC_POSITIONS angstrom
Sm 0.0000 0.0000 0.0000
Sm 1.7929 8.9136 3.8471
Sm 3.4761 5.4972 10.4030
Sm 4.8532 3.8434 0.6175
Sm 6.5364 0.4271 7.1734
Ho 1.5409 3.3768 8.4703
Ho 1.6782 6.1250 6.1193
Ho 1.6198 2.6815 1.7368
Ho 3.7758 8.0424 8.2161
Ho 3.4893 1.8259 6.0284
Ho 3.6754 7.3330 1.2934
Ho 4.6539 2.0077 9.7271
Ho 4.8401 7.5148 4.9921
Ho 4.5535 1.2983 2.8044
Ho 6.7095 6.6591 9.2836
Ho 6.6511 3.2157 4.9011
Ho 6.7884 5.9639 2.5502
Th 3.6376 4.5446 3.7666
Th 4.6918 4.7961 7.2539
```

Spin magnetization: 0.00 Bohr magnetons per cell
E_form: 0.08 eV per atom